First-principles (PBE-GGA) data for CsPa2GaN5 after structural relaxation, as listed in the Alexandria database.

a b c (Å): 6.812 6.812 11.881
angles (deg): 90.00 90.00 90.00
Space group I4/mcm (No. 140)
Symmetry-distinct sites (fractional):
Cs (0.000, 0.000, 0.250) [4 per cell]
Pa (0.197, 0.303, 0.000) [8 per cell]
Ga (0.000, 0.500, 0.250) [4 per cell]
N (0.000, 0.000, 0.000) [4 per cell]
N (0.133, 0.367, 0.378) [16 per cell]

Total magnetic moment ... 1.0 μB per formula unit
Formation energy without anion corrections ... -712 meV per atom

First-principles (PBE-GGA) data for CsPaGaN3 after structural relaxation, as listed in the Alexandria database.

a b c (Å): 8.560 3.623 8.618
angles (deg): 90.00 110.35 90.00
Space group P2_1/m (No. 11)
Symmetry-distinct sites (fractional):
Cs (0.218, 0.250, 0.239) [2 per cell]
Pa (0.337, 0.750, 0.853) [2 per cell]
Ga (0.076, 0.250, 0.616) [2 per cell]
N (0.151, 0.750, 0.552) [2 per cell]
N (0.171, 0.250, 0.853) [2 per cell]
N (0.493, 0.750, 0.125) [2 per cell]

Total magnetic moment ... 0.0 μB per formula unit
Formation energy without anion corrections ... -806 meV per atom

First-principles (PBE-GGA) data for CsGaPd2N after structural relaxation, as listed in the Alexandria database.

a b c (Å): 4.254 4.254 5.798
angles (deg): 90.00 90.00 90.00
Space group P4/mmm (No. 123)
Symmetry-distinct sites (fractional):
Cs (0.000, 0.000, 0.000) [1 per cell]
Ga (0.500, 0.500, 0.000) [1 per cell]
Pd (0.000, 0.500, 0.500) [2 per cell]
N (0.000, 0.000, 0.500) [1 per cell]

Total magnetic moment ... 0.0 μB per formula unit
Formation energy without anion corrections ... 654 meV per atom

First-principles (PBE-GGA) data for CsGaTe2N after structural relaxation, as listed in the Alexandria database.

a b c (Å): 6.792 6.792 4.180
angles (deg): 90.00 90.00 90.00
Space group P4/mmm (No. 123)
Symmetry-distinct sites (fractional):
Cs (0.000, 0.000, 0.000) [1 per cell]
Ga (0.500, 0.500, 0.500) [1 per cell]
Te (0.000, 0.500, 0.000) [2 per cell]
N (0.000, 0.000, 0.500) [1 per cell]

Distance to the lowest polymorph of the same formula ... 1.3212 eV per atom
Total magnetic moment ... 0.0 μB per formula unit
Formation energy without anion corrections ... 1554 meV per atom

First-principles (PBE-GGA) data for CsGaTe2N after structural relaxation, as listed in the Alexandria database.

a b c (Å): 6.734 6.734 3.470
angles (deg): 90.00 90.00 90.00
Space group P4/mmm (No. 123)
Symmetry-distinct sites (fractional):
Cs (0.000, 0.000, 0.000) [1 per cell]
Ga (0.500, 0.500, 0.500) [1 per cell]
Te (0.000, 0.500, 0.500) [2 per cell]
N (0.500, 0.500, 0.000) [1 per cell]

Distance to the lowest polymorph of the same formula ... 0.0000 eV per atom
Total magnetic moment ... 1.6 μB per formula unit
Formation energy without anion corrections ... 233 meV per atom

First-principles (PBE-GGA) data for CsNaGa3 after structural relaxation, as listed in the Alexandria database.

a b c (Å): 6.170 6.170 6.170
angles (deg): 90.00 90.00 90.00
Space group Pm-3m (No. 221)
Symmetry-distinct sites (fractional):
Cs (0.000, 0.000, 0.000) [1 per cell]
Na (0.500, 0.500, 0.500) [1 per cell]
Ga (0.000, 0.000, 0.500) [3 per cell]

Distance to the lowest polymorph of the same formula ... 0.5261 eV per atom
Total magnetic moment ... 0.0 μB per formula unit

First-principles (PBE-GGA) data for CsNa3Ga after structural relaxation, as listed in the Alexandria database.

a b c (Å): 6.015 6.015 6.015
angles (deg): 90.00 90.00 90.00
Space group Pm-3m (No. 221)
Symmetry-distinct sites (fractional):
Cs (0.000, 0.000, 0.000) [1 per cell]
Na (0.000, 0.500, 0.500) [3 per cell]
Ga (0.500, 0.500, 0.500) [1 per cell]

Distance to the lowest polymorph of the same formula ... 0.0000 eV per atom
Total magnetic moment ... 0.0 μB per formula unit

First-principles (PBE-GGA) data for Cs2Na4Ga after structural relaxation, as listed in the Alexandria database.

a b c (Å): 6.050 6.050 20.951
angles (deg): 90.00 90.00 90.00
Space group I4/mmm (No. 139)
Symmetry-distinct sites (fractional):
Cs (0.000, 0.000, 0.148) [4 per cell]
Na (0.000, 0.000, 0.360) [4 per cell]
Na (0.000, 0.500, 0.000) [4 per cell]
Ga (0.000, 0.000, 0.500) [2 per cell]

Uncorrected energy ... -1.358 eV/atom
Total magnetic moment ... 0.0 μB per formula unit

First-principles (PBE-GGA) data for CsNaGa3 after structural relaxation, as listed in the Alexandria database.

a b c (Å): 5.620 5.620 5.620
angles (deg): 90.00 90.00 90.00
Space group Pm-3m (No. 221)
Symmetry-distinct sites (fractional):
Cs (0.000, 0.000, 0.000) [1 per cell]
Na (0.500, 0.500, 0.500) [1 per cell]
Ga (0.000, 0.500, 0.500) [3 per cell]

Distance to the lowest polymorph of the same formula ... 0.0000 eV per atom
Total magnetic moment ... 0.0 μB per formula unit

First-principles (PBE-GGA) data for CsNa2Ga after structural relaxation, as listed in the Alexandria database.

a b c (Å): 3.8227 3.8227 40.5152
angles (deg): 90.00 90.00 120.00
Space group R-3m (No. 166, hexagonal axes)
Symmetry-distinct sites (fractional):
Cs (0.0000, 0.0000, 0.0000) [3 per cell]
Na (0.0000, 0.0000, 0.4254) [6 per cell]
Ga (0.0000, 0.0000, 0.5000) [3 per cell]

Uncorrected energy ... -1.247 eV/atom
Total magnetic moment ... 0.1 μB per formula unit

First-principles (PBE-GGA) data for CsNa3Ga after structural relaxation, as listed in the Alexandria database.

a b c (Å): 6.789 6.789 6.789
angles (deg): 90.00 90.00 90.00
Space group Pm-3m (No. 221)
Symmetry-distinct sites (fractional):
Cs (0.000, 0.000, 0.000) [1 per cell]
Na (0.000, 0.000, 0.500) [3 per cell]
Ga (0.500, 0.500, 0.500) [1 per cell]

Distance to the lowest polymorph of the same formula ... 0.7042 eV per atom
Total magnetic moment ... 0.0 μB per formula unit

First-principles (PBE-GGA) data for Cs2NaGa2 after structural relaxation, as listed in the Alexandria database.

a b c (Å): 4.035 4.035 27.054
angles (deg): 90.00 90.00 90.00
Space group I4/mmm (No. 139)
Symmetry-distinct sites (fractional):
Cs (0.000, 0.000, 0.128) [4 per cell]
Na (0.000, 0.000, 0.500) [2 per cell]
Ga (0.000, 0.500, 0.250) [4 per cell]

Uncorrected energy ... -1.701 eV/atom
Total magnetic moment ... 0.0 μB per formula unit

First-principles (PBE-GGA) data for CsNaGa after structural relaxation, as listed in the Alexandria database.

a b c (Å): 4.494 5.712 11.855
angles (deg): 102.83 90.51 90.02
Space group P1 (No. 1)
Symmetry-distinct sites (fractional):
Cs (0.000, 0.000, 0.000) [1 per cell]
Cs (0.492, 0.823, 0.625) [1 per cell]
Na (0.497, 0.179, 0.345) [1 per cell]
Na (0.991, 0.643, 0.280) [1 per cell]
Ga (0.497, 0.431, 0.853) [1 per cell]
Ga (0.995, 0.392, 0.771) [1 per cell]

Uncorrected energy ... -1.685 eV/atom
Total magnetic moment ... 0.0 μB per formula unit

First-principles (PBE-GGA) data for Cs3NaGa after structural relaxation, as listed in the Alexandria database.

a b c (Å): 7.265 7.265 7.265
angles (deg): 90.00 90.00 90.00
Space group Pm-3m (No. 221)
Symmetry-distinct sites (fractional):
Cs (0.000, 0.000, 0.500) [3 per cell]
Na (0.500, 0.500, 0.500) [1 per cell]
Ga (0.000, 0.000, 0.000) [1 per cell]

Distance to the lowest polymorph of the same formula ... 0.0000 eV per atom
Total magnetic moment ... 0.0 μB per formula unit

First-principles (PBE-GGA) data for CsNa2NbGa after structural relaxation, as listed in the Alexandria database.

a b c (Å): 6.192 6.192 5.298
angles (deg): 90.00 90.00 90.00
Space group P4/mmm (No. 123)
Symmetry-distinct sites (fractional):
Cs (0.000, 0.000, 0.000) [1 per cell]
Na (0.000, 0.500, 0.500) [2 per cell]
Nb (0.500, 0.500, 0.500) [1 per cell]
Ga (0.500, 0.500, 0.000) [1 per cell]

Uncorrected energy ... -2.583 eV/atom
Total magnetic moment ... 4.1 μB per formula unit

First-principles (PBE-GGA) data for CsNaGaO2 after structural relaxation, as listed in the Alexandria database.

a b c (Å): 4.715 4.715 5.174
angles (deg): 90.00 90.00 90.00
Space group P4/mmm (No. 123)
Symmetry-distinct sites (fractional):
Cs (0.000, 0.000, 0.000) [1 per cell]
Na (0.000, 0.000, 0.500) [1 per cell]
Ga (0.500, 0.500, 0.000) [1 per cell]
O (0.000, 0.500, 0.500) [2 per cell]

Total magnetic moment ... 1.0 μB per formula unit
Formation energy without anion corrections ... 94 meV per atom

First-principles (PBE-GGA) data for CsNa2Ga2P2 after structural relaxation, as listed in the Alexandria database.

a b c (Å): 11.291 3.885 9.750
angles (deg): 90.00 95.76 90.00
Space group C2/m (No. 12)
Symmetry-distinct sites (fractional):
Cs (0.000, 0.000, 0.000) [2 per cell]
Na (0.177, 0.500, 0.627) [4 per cell]
Ga (0.044, 0.000, 0.389) [4 per cell]
P (0.124, 0.500, 0.294) [4 per cell]

Uncorrected energy ... -3.240 eV/atom
Total magnetic moment ... 0.0 μB per formula unit

First-principles (PBE-GGA) data for Cs2NaGaP2 after structural relaxation, as listed in the Alexandria database.

a b c (Å): 6.834 16.460 6.531
angles (deg): 90.00 90.00 90.00
Space group Ibam (No. 72)
Symmetry-distinct sites (fractional):
Cs (0.240, 0.169, 0.000) [8 per cell]
Na (0.000, 0.000, 0.250) [4 per cell]
Ga (0.000, 0.500, 0.250) [4 per cell]
P (0.198, 0.421, 0.000) [8 per cell]

Uncorrected energy ... -3.261 eV/atom
Total magnetic moment ... 0.0 μB per formula unit

First-principles (PBE-GGA) data for CsRbNa2Ga after structural relaxation, as listed in the Alexandria database.

a b c (Å): 6.232 6.232 6.891
angles (deg): 90.00 90.00 90.00
Space group P4/mmm (No. 123)
Symmetry-distinct sites (fractional):
Cs (0.000, 0.000, 0.000) [1 per cell]
Rb (0.500, 0.500, 0.000) [1 per cell]
Na (0.000, 0.500, 0.500) [2 per cell]
Ga (0.000, 0.000, 0.500) [1 per cell]

Distance to the lowest polymorph of the same formula ... 0.0268 eV per atom
Total magnetic moment ... 0.0 μB per formula unit

First-principles (PBE-GGA) data for CsRbNa2Ga after structural relaxation, as listed in the Alexandria database.

a b c (Å): 6.204 6.204 6.844
angles (deg): 90.00 90.00 90.00
Space group P4/mmm (No. 123)
Symmetry-distinct sites (fractional):
Cs (0.000, 0.000, 0.000) [1 per cell]
Rb (0.500, 0.500, 0.000) [1 per cell]
Na (0.000, 0.500, 0.500) [2 per cell]
Ga (0.500, 0.500, 0.500) [1 per cell]

Distance to the lowest polymorph of the same formula ... 0.0000 eV per atom
Total magnetic moment ... 0.0 μB per formula unit

First-principles (PBE-GGA) data for CsNaGa2Rh after structural relaxation, as listed in the Alexandria database.

a b c (Å): 4.889 4.889 5.763
angles (deg): 90.00 90.00 90.00
Space group P4/mmm (No. 123)
Symmetry-distinct sites (fractional):
Cs (0.000, 0.000, 0.000) [1 per cell]
Na (0.500, 0.500, 0.000) [1 per cell]
Ga (0.000, 0.500, 0.500) [2 per cell]
Rh (0.500, 0.500, 0.500) [1 per cell]

Uncorrected energy ... -3.313 eV/atom
Total magnetic moment ... 0.0 μB per formula unit

First-principles (PBE-GGA) data for CsNaGa2Sb2 after structural relaxation, as listed in the Alexandria database.

a b c (Å): 4.4800 4.4800 11.3468
angles (deg): 90.00 90.00 120.00
Space group P-3m1 (No. 164)
Symmetry-distinct sites (fractional):
Cs (0.0000, 0.0000, 0.0000) [1 per cell]
Na (0.0000, 0.0000, 0.5000) [1 per cell]
Ga (0.3333, 0.6667, 0.7665) [2 per cell]
Sb (0.3333, 0.6667, 0.3150) [2 per cell]

Total magnetic moment ... 0.0 μB per formula unit
Formation energy without anion corrections ... -213 meV per atom

First-principles (PBE-GGA) data for CsNaGaSe2 after structural relaxation, as listed in the Alexandria database.

a b c (Å): 6.481 15.273 6.768
angles (deg): 90.00 90.00 90.00
Space group Cmme (No. 67)
Symmetry-distinct sites (fractional):
Cs (0.000, 0.250, 0.235) [4 per cell]
Na (0.250, 0.000, 0.500) [4 per cell]
Ga (0.000, 0.000, 0.000) [4 per cell]
Se (0.000, 0.117, 0.749) [8 per cell]

Total magnetic moment ... 0.0 μB per formula unit
Formation energy without anion corrections ... -701 meV per atom

First-principles (PBE-GGA) data for CsNaGaSi after structural relaxation, as listed in the Alexandria database.

a b c (Å): 7.308 4.218 9.539
angles (deg): 90.00 90.12 90.00
Space group Cm (No. 8)
Symmetry-distinct sites (fractional):
Cs (0.000, 0.000, 0.000) [2 per cell]
Na (0.001, 0.000, 0.532) [2 per cell]
Ga (0.334, 0.000, 0.308) [2 per cell]
Si (0.167, 0.500, 0.306) [2 per cell]

Total magnetic moment ... 0.0 μB per formula unit
Formation energy without anion corrections ... 1 meV per atom

First-principles (PBE-GGA) data for CsNa2GaSi after structural relaxation, as listed in the Alexandria database.

a b c (Å): 5.764 5.764 5.218
angles (deg): 90.00 90.00 90.00
Space group P4/mmm (No. 123)
Symmetry-distinct sites (fractional):
Cs (0.000, 0.000, 0.000) [1 per cell]
Na (0.000, 0.500, 0.500) [2 per cell]
Ga (0.500, 0.500, 0.000) [1 per cell]
Si (0.500, 0.500, 0.500) [1 per cell]

Total magnetic moment ... 0.0 μB per formula unit
Formation energy without anion corrections ... 118 meV per atom

First-principles (PBE-GGA) data for Cs2NaGaSi after structural relaxation, as listed in the Alexandria database.

a b c (Å): 6.890 6.890 5.499
angles (deg): 90.00 90.00 90.00
Space group P4/mmm (No. 123)
Symmetry-distinct sites (fractional):
Cs (0.000, 0.500, 0.000) [2 per cell]
Na (0.000, 0.000, 0.000) [1 per cell]
Ga (0.000, 0.000, 0.500) [1 per cell]
Si (0.500, 0.500, 0.500) [1 per cell]

Total magnetic moment ... 1.4 μB per formula unit
Formation energy without anion corrections ... 720 meV per atom

First-principles (PBE-GGA) data for CsNa2GaSn after structural relaxation, as listed in the Alexandria database.

a b c (Å): 5.881 5.881 5.557
angles (deg): 90.00 90.00 90.00
Space group P4/mmm (No. 123)
Symmetry-distinct sites (fractional):
Cs (0.000, 0.000, 0.000) [1 per cell]
Na (0.000, 0.500, 0.500) [2 per cell]
Ga (0.500, 0.500, 0.500) [1 per cell]
Sn (0.500, 0.500, 0.000) [1 per cell]

Distance to the lowest polymorph of the same formula ... 0.0000 eV per atom
Total magnetic moment ... 0.0 μB per formula unit